(1)
This record from Alexandria via LeMat-Bulk describes a relaxed Ca4Sb2As crystal. The functional is PBE.

```
Ca4Sb2As
1.0
5.366 0.000 0.000
0.000 5.366 0.000
2.683 2.683 8.167
Sb As Ca
2 1 4
direct
0.367 0.367 0.266 Sb
0.633 0.633 0.734 Sb
0.000 0.000 0.000 As
0.500 0.000 0.000 Ca
0.000 0.500 0.000 Ca
0.824 0.824 0.353 Ca
0.176 0.176 0.647 Ca
```

Computed properties:
Total magnetic moment, μB/f.u.: 0.00
DOS at the Fermi energy, states/eV per cell: 4.390
Distance to the lowest polymorph of the same formula, eV/atom: 0.0161
Final energy, eV per formula unit: -26.979
Energy relative to the elements, uncorrected, eV/atom: -0.868



(2)
This record from Alexandria via LeMat-Bulk describes a relaxed CaSb2As2 crystal. The functional is PBE.

```
CaSb2As2
1.0
-3.467 0.664 2.465
1.854 -2.202 3.201
2.189 5.443 5.372
Sb As Ca
2 2 1
direct
0.250 0.750 0.500 Sb
0.750 0.250 0.500 Sb
0.416 0.416 0.167 As
0.584 0.584 0.833 As
0.000 0.000 0.000 Ca
```

Computed properties:
Total magnetic moment, μB/f.u.: 0.00
DOS at the Fermi energy, states/eV per cell: 1.788
Distance to the lowest polymorph of the same formula, eV/atom: 0.0706
Final energy, eV per formula unit: -20.516
Energy relative to the elements, uncorrected, eV/atom: -0.194



(3)
This record from Alexandria via LeMat-Bulk describes a relaxed CaSb2As crystal. The functional is PBE.

```
CaSb2As
1.0
5.306 0.000 0.000
2.653 4.595 0.000
2.653 1.532 4.333
Sb As Ca
2 1 1
direct
0.250 0.250 0.250 Sb
0.000 0.000 0.000 Sb
0.500 0.500 0.500 As
0.750 0.750 0.750 Ca
```

Computed properties:
Total magnetic moment, μB/f.u.: 0.00
DOS at the Fermi energy, states/eV per cell: 2.598
Final energy, eV per formula unit: -15.663
Energy relative to the elements, uncorrected, eV/atom: -0.192